# Dy2HoPt2, optimized geometry, DFT GGA-PBE
data_Dy2HoPt2
_space_group_name_H-M_alt 'P 4/m b m'
_space_group_IT_number 127
_space_group_name_Hall '-P 4 2ab'
_cell_length_a 7.7106
_cell_length_b 7.7106
_cell_length_c 3.9848
_cell_angle_alpha 90.00
_cell_angle_beta 90.00
_cell_angle_gamma 90.00
loop_
_atom_site_label
_atom_site_fract_x
_atom_site_fract_y
_atom_site_fract_z
Dy1 0.1609 0.3391 0.0000
Ho1 0.0000 0.0000 0.5000
Pt1 0.1399 0.6399 0.5000
# Formation energy from the elements in meV per atom: -1077
# Calculated volume in Å³/cell: 236.9
# Total moment in μB per formula unit: 0.00

# TaGaSiOsPb, optimized geometry, DFT GGA-PBE
data_TaGaSiOsPb
_space_group_name_H-M_alt 'I m m 2'
_space_group_IT_number 44
_cell_length_a 3.1696
_cell_length_b 3.9621
_cell_length_c 15.4973
_cell_angle_alpha 90.00
_cell_angle_beta 90.00
_cell_angle_gamma 90.00
loop_
_space_group_symop_operation_xyz
'x,y,z'
'-x,-y,z'
'-x,y,z'
'x,-y,z'
'x+1/2,y+1/2,z+1/2'
'-x+1/2,-y+1/2,z+1/2'
'-x+1/2,y+1/2,z+1/2'
'x+1/2,-y+1/2,z+1/2'
loop_
_atom_site_label
_atom_site_fract_x
_atom_site_fract_y
_atom_site_fract_z
Ta1 0.0000 0.0000 0.0000
Ga1 0.0000 0.5000 0.3210
Si1 0.0000 0.0000 0.4621
Os1 0.0000 0.5000 0.8411
Pb1 0.0000 0.5000 0.6619
# Polymorph energy (0 for the lowest one) in eV per formula unit: 0.37
# ΔE_f (raw) in meV per atom: 55
# Calculated volume in Å³/cell: 194.6
# Total moment in μB per formula unit: 0.00

# Sm6Hg5Ge, optimized geometry, DFT GGA-PBE
data_Sm6Hg5Ge
_space_group_name_H-M_alt 'P 1 2/m 1'
_space_group_IT_number 10
_cell_length_a 5.3018
_cell_length_b 7.5140
_cell_length_c 8.4810
_cell_angle_alpha 90.00
_cell_angle_beta 108.16
_cell_angle_gamma 90.00
loop_
_space_group_symop_operation_xyz
'x,y,z'
'-x,-y,-z'
'-x,y,-z'
'x,-y,z'
loop_
_atom_site_label
_atom_site_fract_x
_atom_site_fract_y
_atom_site_fract_z
Sm1 0.0000 0.2350 0.0000
Sm2 0.3406 0.2449 0.6812
Hg1 0.1699 0.5000 0.3395
Hg2 0.1793 0.0000 0.3585
Hg3 0.5000 0.5000 0.0000
Ge1 0.5000 0.0000 0.0000
# Formation energy from the elements in meV per atom: -516
# Calculated volume in Å³/cell: 321.0
# Total moment in μB per formula unit: 0.00

# Er6GaAs2Se3, optimized geometry, DFT GGA-PBE
data_Er6GaAs2Se3
_space_group_name_H-M_alt 'C 1 2/m 1'
_space_group_IT_number 12
_cell_length_a 17.8415
_cell_length_b 4.0293
_cell_length_c 8.2488
_cell_angle_alpha 90.00
_cell_angle_beta 103.37
_cell_angle_gamma 90.00
loop_
_space_group_symop_operation_xyz
'x,y,z'
'-x,-y,-z'
'-x,y,-z'
'x,-y,z'
'x+1/2,y+1/2,z'
'-x+1/2,-y+1/2,-z'
'-x+1/2,y+1/2,-z'
'x+1/2,-y+1/2,z'
loop_
_atom_site_label
_atom_site_fract_x
_atom_site_fract_y
_atom_site_fract_z
Er1 0.0015 0.0000 0.2448
Er2 0.1626 0.5000 0.0879
Er3 0.1700 0.5000 0.5768
Ga1 0.0000 0.5000 0.0000
As1 0.1670 0.0000 0.3350
Se1 0.0000 0.5000 0.5000
Se2 0.1691 0.0000 0.8321
# ΔE_f (raw) in meV per atom: -1501
# Calculated volume in Å³/cell: 576.9
# Total moment in μB per formula unit: 0.00

# NdTm2Np, optimized geometry, DFT GGA-PBE
data_NdTm2Np
_space_group_name_H-M_alt 'R -3 m'
_space_group_IT_number 166
_space_group_name_Hall '-R 3 2"'
_cell_length_a 3.3517
_cell_length_b 3.3517
_cell_length_c 36.4910
_cell_angle_alpha 90.00
_cell_angle_beta 90.00
_cell_angle_gamma 120.00
loop_
_atom_site_label
_atom_site_fract_x
_atom_site_fract_y
_atom_site_fract_z
Nd1 0.0000 0.0000 0.0000
Tm1 0.0000 0.0000 0.0928
Np1 0.0000 0.0000 0.5000
# Formation energy from the elements in meV per atom: 385
# Calculated volume in Å³/cell: 355.0
# Total moment in μB per formula unit: 3.42

# AcEuDyLu, optimized geometry, DFT GGA-PBE
data_AcEuDyLu
_space_group_name_H-M_alt 'F -4 3 m'
_space_group_IT_number 216
_space_group_name_Hall 'F -4 2 3'
_cell_length_a 8.3431
_cell_length_b 8.3431
_cell_length_c 8.3431
_cell_angle_alpha 90.00
_cell_angle_beta 90.00
_cell_angle_gamma 90.00
loop_
_atom_site_label
_atom_site_fract_x
_atom_site_fract_y
_atom_site_fract_z
Ac1 0.0000 0.0000 0.0000
Eu1 0.2500 0.2500 0.2500
Dy1 0.0000 0.0000 0.5000
Lu1 0.2500 0.2500 0.7500
# Formation energy from the elements in meV per atom: 143
# Calculated volume in Å³/cell: 580.7
# Total moment in μB per formula unit: 7.61

# LaBeCl, optimized geometry, DFT GGA-PBE
data_LaBeCl
_space_group_name_H-M_alt 'F -4 3 m'
_space_group_IT_number 216
_space_group_name_Hall 'F -4 2 3'
_cell_length_a 6.6642
_cell_length_b 6.6642
_cell_length_c 6.6642
_cell_angle_alpha 90.00
_cell_angle_beta 90.00
_cell_angle_gamma 90.00
loop_
_atom_site_label
_atom_site_fract_x
_atom_site_fract_y
_atom_site_fract_z
La1 0.0000 0.0000 0.0000
Be1 0.0000 0.0000 0.5000
Cl1 0.2500 0.2500 0.7500
# Polymorph energy (0 for the lowest one) in eV per formula unit: 0.49
# ΔE_f (raw) in meV per atom: -198
# Calculated volume in Å³/cell: 296.0
# Total moment in μB per formula unit: 0.00

# UAl7Fe3Cu2, optimized geometry, DFT GGA-PBE
data_UAl7Fe3Cu2
_space_group_name_H-M_alt 'C 1 m 1'
_space_group_IT_number 8
_cell_length_a 12.1893
_cell_length_b 4.9928
_cell_length_c 8.6723
_cell_angle_alpha 90.00
_cell_angle_beta 134.06
_cell_angle_gamma 90.00
loop_
_space_group_symop_operation_xyz
'x,y,z'
'x,-y,z'
'x+1/2,y+1/2,z'
'x+1/2,-y+1/2,z'
loop_
_atom_site_label
_atom_site_fract_x
_atom_site_fract_y
_atom_site_fract_z
U1 0.0000 0.0000 0.0000
Al1 0.0075 0.0000 0.6697
Al2 0.1521 0.5000 0.6773
Al3 0.2087 0.5000 0.2101
Al4 0.2918 0.0000 0.7977
Al5 0.3479 0.0000 0.3615
Al6 0.4911 0.5000 0.3441
Al7 0.4970 0.0000 0.2289
Fe1 0.0054 0.5000 0.7940
Fe2 0.2510 0.2473 0.0105
Cu1 0.2475 0.2511 0.5066
# Formation energy from the elements in meV per atom: -268
# Calculated volume in Å³/cell: 379.3
# Total moment in μB per formula unit: 2.71

# NaHg4Pb, optimized geometry, DFT GGA-PBE
data_NaHg4Pb
_space_group_name_H-M_alt 'F -4 3 m'
_space_group_IT_number 216
_space_group_name_Hall 'F -4 2 3'
_cell_length_a 8.6399
_cell_length_b 8.6399
_cell_length_c 8.6399
_cell_angle_alpha 90.00
_cell_angle_beta 90.00
_cell_angle_gamma 90.00
loop_
_atom_site_label
_atom_site_fract_x
_atom_site_fract_y
_atom_site_fract_z
Na1 0.0000 0.0000 0.0000
Hg1 0.1253 0.1253 0.6253
Pb1 0.2500 0.2500 0.2500
# Polymorph energy (0 for the lowest one) in eV per formula unit: 0.33
# Formation energy from the elements in meV per atom: -51
# Calculated volume in Å³/cell: 645.0
# Total moment in μB per formula unit: 0.00

# TbTh4PaN8, optimized geometry, DFT GGA-PBE
data_TbTh4PaN8
_space_group_name_H-M_alt 'R 3 m'
_space_group_IT_number 160
_space_group_name_Hall 'R 3 -2"'
_cell_length_a 7.1765
_cell_length_b 7.1765
_cell_length_c 17.1625
_cell_angle_alpha 90.00
_cell_angle_beta 90.00
_cell_angle_gamma 120.00
loop_
_atom_site_label
_atom_site_fract_x
_atom_site_fract_y
_atom_site_fract_z
Tb1 0.0000 0.0000 0.0000
Th1 0.0000 0.0000 0.6248
Th2 0.0013 0.5006 0.5020
Pa1 0.0000 0.0000 0.3790
N1 0.0000 0.0000 0.2488
N2 0.0000 0.0000 0.7621
N3 0.0071 0.5035 0.7525
N4 0.1798 0.3596 0.5804
# ΔE_f (raw) in meV per atom: -1491
# Calculated volume in Å³/cell: 765.5
# Total moment in μB per formula unit: 0.00

# Pr2Dy8Tl, optimized geometry, DFT GGA-PBE
data_Pr2Dy8Tl
_space_group_name_H-M_alt 'C 1 2/m 1'
_space_group_IT_number 12
_cell_length_a 18.1483
_cell_length_b 4.9787
_cell_length_c 7.9236
_cell_angle_alpha 90.00
_cell_angle_beta 105.31
_cell_angle_gamma 90.00
loop_
_space_group_symop_operation_xyz
'x,y,z'
'-x,-y,-z'
'-x,y,-z'
'x,-y,z'
'x+1/2,y+1/2,z'
'-x+1/2,-y+1/2,-z'
'-x+1/2,y+1/2,-z'
'x+1/2,-y+1/2,z'
loop_
_atom_site_label
_atom_site_fract_x
_atom_site_fract_y
_atom_site_fract_z
Pr1 0.2216 0.0000 0.1353
Dy1 0.0442 0.0000 0.2229
Dy2 0.0883 0.5000 0.9428
Dy3 0.1339 0.0000 0.6742
Dy4 0.1801 0.5000 0.4088
Tl1 0.0000 0.5000 0.5000
# Formation energy from the elements in meV per atom: -30
# Calculated volume in Å³/cell: 690.5
# Total moment in μB per formula unit: 0.00

# NdThTlAg, optimized geometry, DFT GGA-PBE
data_NdThTlAg
_space_group_name_H-M_alt 'F -4 3 m'
_space_group_IT_number 216
_space_group_name_Hall 'F -4 2 3'
_cell_length_a 7.6684
_cell_length_b 7.6684
_cell_length_c 7.6684
_cell_angle_alpha 90.00
_cell_angle_beta 90.00
_cell_angle_gamma 90.00
loop_
_atom_site_label
_atom_site_fract_x
_atom_site_fract_y
_atom_site_fract_z
Nd1 0.0000 0.0000 0.0000
Th1 0.0000 0.0000 0.5000
Tl1 0.2500 0.2500 0.7500
Ag1 0.2500 0.2500 0.2500
# Formation energy from the elements in meV per atom: -161
# Calculated volume in Å³/cell: 450.9
# Total moment in μB per formula unit: 0.33

| no. | uncorrected energy (eV/atom) |
| --- | --- |
| 1 | -6.250 |
| 2 | -6.993 |
| 3 | -3.386 |
| 4 | -5.680 |
| 5 | -6.278 |
| 6 | -5.734 |
| 7 | -3.698 |
| 8 | -5.735 |
| 9 | -1.090 |
| 10 | -9.377 |
| 11 | -4.461 |
| 12 | -4.513 |